Crystalline BaTlSn2Pt at its relaxed geometry, computed with PBE-GGA.

a b c (Å): 6.1018 6.1018 6.1767
angles (deg): 90.00 90.00 90.00
With the nearest neighbours (Å) after each atom.
Space group P4/mmm (No. 123)
Symmetry-distinct sites (fractional):
Ba 0.0000 0.0000 0.0000 (multiplicity 1)  4 Sn 3.05, 2 Tl 3.09
Tl 0.0000 0.0000 0.5000 (multiplicity 1)  2 Ba 3.09
Sn 0.0000 0.5000 0.0000 (multiplicity 2)  2 Ba 3.05
Pt 0.5000 0.5000 0.5000 (multiplicity 1)  4 Tl 4.31, 8 Sn 4.34

Values from the calculation:
**Calculated volume**: 229.97 Å³/f.u.
**Total DFT energy (no corrections)**: -11.04 eV for the cell shown
**ΔH_f (0 K)**: 1458.3 meV per atom



Crystalline Ba2Zn3Sn4Pt at its relaxed geometry, computed with PBE-GGA.

a b c (Å): 4.7914 4.7914 11.2943
angles (deg): 90.00 90.00 90.00
With the nearest neighbours (Å) after each atom.
Space group P-4m2 (No. 115)
Symmetry-distinct sites (fractional):
Ba 0.0000 0.5000 0.2414 (multiplicity 2)  2 Pt 3.63, 6 Zn 3.63-3.65, 8 Sn 3.66-3.78
Zn 0.0000 0.0000 0.0000 (multiplicity 1)  4 Sn 2.75
Zn 0.0000 0.5000 0.6375 (multiplicity 2)  5 Sn 2.74-2.86
Sn 0.0000 0.0000 0.5000 (multiplicity 1)  4 Zn 2.86
Sn 0.0000 0.5000 0.8804 (multiplicity 2)  3 Zn 2.74-2.75, 2 Pt 2.75
Sn 0.5000 0.5000 0.5000 (multiplicity 1)  4 Zn 2.86
Pt 0.5000 0.5000 0.0000 (multiplicity 1)  4 Sn 2.75

Values from the calculation:
**Calculated volume**: 259.29 Å³/f.u.
**Total DFT energy (no corrections)**: -34.53 eV for the cell shown
**ΔH_f (0 K)**: -481.2 meV per atom



Crystalline Ba2ZnSnPt at its relaxed geometry, computed with PBE-GGA.

a b c (Å): 6.1113 6.1113 4.8753
angles (deg): 90.00 90.00 90.00
With the nearest neighbours (Å) after each atom.
Space group P4/mmm (No. 123)
Symmetry-distinct sites (fractional):
Ba 0.0000 0.5000 0.0000 (multiplicity 2)  2 Pt 3.06
Zn 0.0000 0.0000 0.5000 (multiplicity 1)  2 Pt 2.44
Sn 0.5000 0.5000 0.5000 (multiplicity 1)  8 Ba 3.91, 4 Zn 4.32
Pt 0.0000 0.0000 0.0000 (multiplicity 1)  2 Zn 2.44

Values from the calculation:
**Calculated volume**: 182.08 Å³/f.u.
**Total DFT energy (no corrections)**: -17.42 eV for the cell shown
**ΔH_f (0 K)**: -451.6 meV per atom



Here are the calculated magnetization numbers, same order: 0.00, 0.00, 0.00 (μB/f.u.).